A plane-wave DFT calculation with GGA+U was carried out for a geometry-optimized Sc2UMnO8 structure.

Cell lengths 4.8013, 4.8013, 6.4055 Å; angles 90.00, 90.00, 91.88 degrees
Atoms (fractional coordinates):
Sc (0.0000, 0.0000, 0.2320)
Sc (0.0000, 0.0000, 0.7680)
U (0.5000, 0.5000, 0.5000)
Mn (0.5000, 0.5000, 0.0000)
O (0.1952, 0.1952, 0.5000)
O (0.2102, 0.2102, 0.0000)
O (0.3148, 0.6852, 0.2355)
O (0.3148, 0.6852, 0.7645)
O (0.6852, 0.3148, 0.2355)
O (0.6852, 0.3148, 0.7645)
O (0.7898, 0.7898, 0.0000)
O (0.8048, 0.8048, 0.5000)

DFT total energy	-104.7	eV for the cell shown
magnetization	3.00	μB per formula unit
SG	Cmmm, No. 65